First-principles (PBE) data for an optimized crystal structure of AcZn2HgPd5, as listed in Alexandria.

a b c (Å): 4.807 4.807 7.458
angles (deg): 90.00 90.00 90.00
Fractional coordinates of all 9 atoms:
Pd1 0.000 0.500 0.229
Zn1 0.500 0.500 0.161
Pd2 0.500 0.000 0.229
Ac1 0.000 0.000 0.500
Pd3 0.500 0.500 0.500
Pd4 0.500 0.000 0.771
Zn2 0.500 0.500 0.839
Pd5 0.000 0.500 0.771
Hg1 0.000 0.000 0.000

Values from the calculation:
- space group = P4/mmm, No. 123
- density (g cm⁻³) = 10.51
- raw total energy (eV/atom) = -4.0416
- formation energy from the elements (kJ/mol of atoms) = -37

=====

First-principles (PBE) data for an optimized crystal structure of AsOs2Au, as listed in Alexandria.

a b c (Å): 5.781 5.781 5.781
angles (deg): 151.96 132.43 56.12
Fractional coordinates of all 4 atoms:
Os1 0.761 0.261 0.500
Au1 0.236 0.736 0.500
As1 0.534 0.534 0.000
Os2 0.969 0.969 0.000

Values from the calculation:
- space group = Imm2, No. 44
- density (g cm⁻³) = 16.26
- raw total energy (eV/atom) = -6.9314
- formation energy from the elements (kJ/mol of atoms) = 64

=====

First-principles (PBE) data for an optimized crystal structure of CaLaTb2As4, as listed in Alexandria.

a b c (Å): 5.964 5.964 7.325
angles (deg): 114.03 114.03 89.99
Fractional coordinates of all 8 atoms:
Tb1 0.687 0.187 0.500
As1 0.186 0.186 0.499
Tb2 0.187 0.687 0.500
As2 0.938 0.437 0.000
As3 0.437 0.938 0.000
La1 0.937 0.937 0.000
Ca1 0.438 0.438 0.000
As4 0.687 0.687 0.501

Values from the calculation:
- space group = Fmm2, No. 42
- density (g cm⁻³) = 6.21
- raw total energy (eV/atom) = -5.7072
- formation energy from the elements (kJ/mol of atoms) = -131

=====

First-principles (PBE) data for an optimized crystal structure of MnAlAs2, as listed in Alexandria.

a b c (Å): 3.690 3.689 5.279
angles (deg): 90.00 90.00 90.00
Last column: magnetic moment on the atom in μB.
Fractional coordinates of all 4 atoms:
As1 0.500 0.500 0.375  -0.08
As2 0.000 0.000 0.875  -0.06
Al1 0.500 0.500 0.875  0.01
Mn1 0.000 0.000 0.375  3.64

Values from the calculation:
- space group = P4/mmm, No. 123
- density (g cm⁻³) = 5.36
- raw total energy (eV/atom) = -5.7078
- formation energy from the elements (kJ/mol of atoms) = -15

=====

First-principles (PBE) data for an optimized crystal structure of Pm4P3PtRh12, as listed in Alexandria.

a b c (Å): 7.893 7.893 7.893
angles (deg): 109.47 109.47 109.47
Fractional coordinates of all 20 atoms:
Rh1 0.750 0.500 0.250
Pm1 0.000 0.000 0.500
P1 0.000 0.500 0.500
Pt1 0.000 0.000 0.000
Rh2 0.729 0.729 0.000
Rh3 0.729 0.000 0.729
Rh4 0.500 0.250 0.750
Pm2 0.000 0.500 0.000
Pm3 0.500 0.500 0.500
Rh5 0.250 0.750 0.500
P2 0.500 0.000 0.500
Pm4 0.500 0.000 0.000
Rh6 0.000 0.729 0.729
Rh7 0.000 0.271 0.271
P3 0.500 0.500 0.000
Rh8 0.250 0.500 0.750
Rh9 0.271 0.271 0.000
Rh10 0.750 0.250 0.500
Rh11 0.500 0.750 0.250
Rh12 0.271 0.000 0.271

Values from the calculation:
- space group = Im-3m, No. 229
- density (g cm⁻³) = 9.22
- raw total energy (eV/atom) = -6.9595
- formation energy from the elements (kJ/mol of atoms) = -47

=====

First-principles (PBE) data for an optimized crystal structure of Pa2TiPdN5, as listed in Alexandria.

a b c (Å): 3.334 6.608 10.398
angles (deg): 90.00 90.00 104.61
Fractional coordinates of all 18 atoms:
Pa1 0.851 0.702 0.802
Pa2 0.098 0.195 0.670
N1 0.271 0.542 0.663
Pd1 0.531 0.062 0.950
N2 0.486 0.971 0.761
N3 0.687 0.374 0.881
N4 0.065 0.131 0.088
N5 0.366 0.731 0.996
Pd2 0.469 0.938 0.450
N6 0.634 0.269 0.496
Pa3 0.902 0.805 0.170
Pa4 0.149 0.298 0.302
Ti1 0.796 0.592 0.514
N7 0.935 0.869 0.588
N8 0.729 0.458 0.163
N9 0.514 0.029 0.261
N10 0.313 0.626 0.381
Ti2 0.204 0.408 0.014

Values from the calculation:
- space group = Cmc2_1, No. 36
- formation energy (no corrections) (eV/atom) = -1.07
- density (g cm⁻³) = 10.28
- raw total energy (eV/atom) = -9.2614